[1]
A relaxed Rb2PuUO6 crystal. Source: the Alexandria database, functional PBE.

```
data_Rb2PuUO6
_chemical_formula_sum 'Rb8 Pu4 U4 O24'
_cell_length_a 8.700
_cell_length_b 8.700
_cell_length_c 8.700
_cell_angle_alpha 90.00
_cell_angle_beta 90.00
_cell_angle_gamma 90.00
_space_group_name_H-M_alt 'F m -3 m'
_space_group_IT_number 225
_space_group_name_Hall '-F 4 2 3'
loop_
_atom_site_label
_atom_site_fract_x
_atom_site_fract_y
_atom_site_fract_z
Rb1 0.250 0.250 0.250
Pu1 0.000 0.000 0.000
U1 0.000 0.000 0.500
O1 0.000 0.000 0.257
```

Output
E in eV/atom: -8.479
Total moment in μB/f.u.: 4.07
V in Å³ per cell: 658.4
Mass density in kg/m³: 7556
Formation energy (no corrections) in eV/atom: -2.75

[2]
A relaxed Rb4PuU3O12 crystal. Source: the Alexandria database, functional PBE.

```
data_Rb4PuU3O12
_chemical_formula_sum 'Rb8 Pu2 U6 O24'
_cell_length_a 8.722
_cell_length_b 8.722
_cell_length_c 8.722
_cell_angle_alpha 90.00
_cell_angle_beta 90.00
_cell_angle_gamma 90.00
_space_group_name_H-M_alt 'I m -3 m'
_space_group_IT_number 229
_space_group_name_Hall '-I 4 2 3'
loop_
_atom_site_label
_atom_site_fract_x
_atom_site_fract_y
_atom_site_fract_z
Rb1 0.250 0.250 0.250
Pu1 0.000 0.000 0.000
U1 0.000 0.000 0.500
O1 0.000 0.000 0.261
O2 0.000 0.250 0.500
```

Output
E in eV/atom: -8.398
Total moment in μB/f.u.: 6.00
V in Å³ per cell: 663.5
Mass density in kg/m³: 7467
Formation energy (no corrections) in eV/atom: -2.82

Question: What is the formula in the second record?
Answer: Rb4PuU3O12

Question: Look up the formation energy (no corrections) of the second one.
Answer: -2.82 eV/atom

Question: What is the formula in the first record?
Answer: Rb2PuUO6